Material: TaCuSi4
Method: DFT, PBE-GGA
State: optimized geometry

Values from the calculation:
Mass density   7.2 g cm⁻³
N(E_F)   0.452 states/eV/atom
E_form (uncorrected)   23.45 kJ per mole of atoms
DFT total energy   -6.030 eV per atom

Structure (extended XYZ):
```
6
Lattice="0.0000 3.4603 3.4603 3.4603 0.0000 3.4603 3.4603 3.4603 0.0000" Properties=species:S:1:pos:R:3 pbc="T T T"
Ta 0.0000 0.0000 0.0000
Cu 5.1904 5.1904 5.1904
Si 2.5932 2.5932 2.5932
Si 4.3273 4.3273 2.5932
Si 4.3273 2.5932 4.3273
Si 2.5932 4.3273 4.3273
```